12
Lattice="9.008 0.000 0.000 0.000 3.877 0.000 -3.750 0.000 8.888" Properties=species:S:1:pos:R:3 comment="KScCuSe3 PBE-GGA optimized geometry" sg="P2_1/m (11)" total_magnetization_mub_per_fu=0.00 dos_at_fermi_per_ev_atom=0.49 raw_formation_energy_ev_per_fu=-6.7 density_g_cm3=4.1 dft_energy_ev_per_atom=-4.786 volume_a3_per_cell=310.4 pbc="T T T"
K 1.018 0.969 2.127
K 4.239 2.908 6.761
Sc -0.275 2.908 7.603
Sc 5.533 0.969 1.285
Cu -1.506 0.969 5.319
Cu 6.764 2.908 3.569
Se -2.164 0.969 7.645
Se -0.106 2.908 4.797
Se 3.617 2.908 1.411
Se 1.641 0.969 7.477
Se 5.364 0.969 4.092
Se 7.422 2.908 1.243